# 1
Material: EuGa4Ag
Method: DFT, GGA-PBE
State: relaxed

abc: 7.907 7.907 7.907
angles: 90.00 90.00 90.00
Space group F-43m (No. 216)
Symmetry-distinct sites (fractional):
Eu1 0.000 0.000 0.000
Ga1 0.125 0.125 0.375
Ag1 0.250 0.250 0.750

total DFT energy (no corrections) = -105.81 eV per cell
formation energy from the elements = -0.2030 eV/atom
Fermi-level density of states = 0.6367 states/eV per atom



# 2
Material: EuGaAg
Method: DFT, GGA-PBE
State: relaxed

abc: 4.6680 4.6680 3.8494
angles: 90.00 90.00 120.00
Space group P-6m2 (No. 187)
Symmetry-distinct sites (fractional):
Eu1 0.0000 0.0000 0.0000
Ga1 0.3333 0.6667 0.5000
Ag1 0.6667 0.3333 0.5000

total DFT energy (no corrections) = -17.38 eV per cell
formation energy from the elements = -0.4103 eV/atom
Fermi-level density of states = 2.7570 states/eV per atom